[1]
A plane-wave DFT calculation with meta-GGA SCAN was carried out for a PBEsol-optimized structure of Zr2BeRe.

```
4
Lattice="3.302 0.000 0.000 0.000 4.503 0.000 0.000 0.000 4.503" Properties=species:S:1:pos:R:3 pbc="T T T"
Re 1.651 0.000 0.000
Zr 0.000 0.000 2.251
Zr 0.000 2.251 0.000
Be 1.651 2.251 2.251
```

SG = No. 123
uncorrected energy = -34.459 eV/atom
DFT formation energy = -0.25 eV/atom

***

[2]
A plane-wave DFT calculation with meta-GGA SCAN was carried out for a PBEsol-optimized structure of ZrBe2Re.

```
4
Lattice="-1.749 2.706 -0.607 -2.686 -1.898 -0.724 -0.422 -1.202 4.717" Properties=species:S:1:pos:R:3 pbc="T T T"
Re -0.278 0.032 0.947
Zr -2.404 -0.825 3.251
Be -1.663 1.445 2.380
Be -2.682 0.458 0.918
```

SG = No. 38
uncorrected energy = -27.887 eV/atom
DFT formation energy = -0.26 eV/atom

***

[3]
A plane-wave DFT calculation with meta-GGA SCAN was carried out for a PBEsol-optimized structure of Zr2Be2Re.

```
10
Lattice="-1.341 2.630 1.890 -5.984 -1.910 -1.588 -0.162 -3.834 5.220" Properties=species:S:1:pos:R:3 pbc="T T T"
Re 0.000 0.000 0.000
Re -3.073 -2.872 1.816
Zr -1.876 -1.653 4.219
Zr -4.889 -3.122 4.125
Zr -5.611 -1.461 1.302
Zr -2.597 0.008 1.397
Be -2.434 -4.117 4.001
Be -5.383 -4.052 1.818
Be -3.711 -1.627 -0.369
Be -0.762 -1.692 1.813
```

SG = No. 127
uncorrected energy = -28.463 eV/atom
DFT formation energy = -0.22 eV/atom

***

[4]
A plane-wave DFT calculation with meta-GGA SCAN was carried out for a PBEsol-optimized structure of Be3Rh.

```
4
Lattice="-0.185 -1.362 -2.496 3.384 -1.034 0.314 -2.691 -1.844 2.832" Properties=species:S:1:pos:R:3 pbc="T T T"
Be 1.043 -2.749 -0.203
Be -0.535 -1.491 0.853
Be -0.092 -0.681 -1.248
Rh 1.692 -0.517 0.157
```

SG = No. 71
uncorrected energy = -12.293 eV/atom
DFT formation energy = -0.59 eV/atom

***

[5]
A plane-wave DFT calculation with meta-GGA SCAN was carried out for a PBEsol-optimized structure of Be3Rh.

```
8
Lattice="-3.056 -0.013 2.127 1.397 -4.124 1.981 1.336 4.161 1.945" Properties=species:S:1:pos:R:3 pbc="T T T"
Be -0.946 2.821 3.546
Be -0.222 0.683 4.573
Be -1.639 0.664 2.538
Be 0.623 -2.797 2.507
Be -0.101 -0.659 1.480
Be 1.316 -0.640 3.515
Rh -0.915 -1.372 3.564
Rh 0.592 1.396 2.489
```

SG = No. 194
uncorrected energy = -12.268 eV/atom
DFT formation energy = -0.56 eV/atom

***

[6]
A plane-wave DFT calculation with meta-GGA SCAN was carried out for a PBEsol-optimized structure of BeRh7.

```
8
Lattice="5.276 0.000 0.000 2.638 4.569 0.000 2.638 1.523 4.308" Properties=species:S:1:pos:R:3 pbc="T T T"
Be 0.000 0.000 0.000
Rh 1.319 0.762 2.154
Rh 1.319 2.285 0.000
Rh 2.638 0.000 0.000
Rh 3.957 2.285 0.000
Rh 3.957 0.762 2.154
Rh 2.638 3.046 2.154
Rh 5.276 3.046 2.154
```

SG = No. 225
uncorrected energy = -30.193 eV/atom
DFT formation energy = -0.10 eV/atom